ErAl4Tl: relaxed, PBE.

Unit cell a=5.5929 b=5.5929 c=5.5929 alpha=60.00 beta=60.00 gamma=60.00
Fractional coordinates of all 6 atoms:
1 Er 0.0000 0.0000 0.0000
2 Al 0.1227 0.6258 0.6258
3 Al 0.6258 0.1227 0.6258
4 Al 0.6258 0.6258 0.1227
5 Al 0.6258 0.6258 0.6258
6 Tl 0.2500 0.2500 0.2500

Values from the calculation:
- Energy relative to the elements: -121 meV/atom
- E_tot: -3.771 eV per atom